No. 1
First-principles (PBE-GGA) data for a relaxed structure of La5Nd2SmSc, as listed in Alexandria via LeMat-Bulk.

a b c (Å): 8.5400 8.5400 8.8095
angles (deg): 90.00 90.00 90.00
With the nearest neighbours (Å) after each atom.
Space group P4/mbm (No. 127)
Symmetry-distinct sites (fractional):
La 0.0000 0.0000 0.0000  4 Nd 3.38
La 0.2171 0.2829 0.2856  1 Nd 3.16, 1 Sc 3.23
Nd 0.1247 0.6247 0.0000  1 Nd 3.01, 2 La 3.16
Sm 0.0000 0.0000 0.5000  8 La 3.58
Sc 0.0000 0.5000 0.5000  4 La 3.23

Calculated values
Total magnetic moment: 0.000 μB/atom
Crystal system: tetragonal
Formation energy: 0.263 eV/atom

---

No. 2
First-principles (PBE-GGA) data for a relaxed structure of La2Nd4SmSc, as listed in Alexandria via LeMat-Bulk.

a b c (Å): 5.1179 5.1380 10.3543
angles (deg): 90.00 90.00 90.00
With the nearest neighbours (Å) after each atom.
Space group Pmmm (No. 47)
Symmetry-distinct sites (fractional):
La 0.0000 0.0000 0.0000  8 Nd 3.60, 4 Sc 3.63
La 0.5000 0.5000 0.5000  4 Sm 3.63, 8 Nd 3.68-3.69
Nd 0.0000 0.5000 0.2442  2 Sc 3.60, 4 La 3.60-3.68, 4 Nd 3.63, 2 Sm 3.69
Nd 0.5000 0.0000 0.2448  4 La 3.60-3.69, 2 Sc 3.61, 4 Nd 3.63, 2 Sm 3.68
Sm 0.0000 0.0000 0.5000  4 La 3.63, 8 Nd 3.68-3.69
Sc 0.5000 0.5000 0.0000  8 Nd 3.60-3.61, 4 La 3.63

Calculated values
Total magnetic moment: 0.000 μB/atom
Crystal system: orthorhombic
Formation energy: 0.038 eV/atom

---

No. 3
First-principles (PBE-GGA) data for a relaxed structure of La5NdSm2Sc, as listed in Alexandria via LeMat-Bulk.

a b c (Å): 9.1482 9.1482 7.6041
angles (deg): 90.00 90.00 90.00
With the nearest neighbours (Å) after each atom.
Space group P4/mbm (No. 127)
Symmetry-distinct sites (fractional):
La 0.0000 0.0000 0.0000  4 Sm 3.68, 2 Nd 3.80, 8 La 3.92
La 0.2085 0.2915 0.2824  1 Sm 3.14, 1 Sc 3.16, 1 La 3.31
Nd 0.0000 0.0000 0.5000  10 La 3.67-3.80
Sm 0.1139 0.6139 0.0000  1 Sm 2.95, 2 La 3.14
Sc 0.0000 0.5000 0.5000  4 La 3.16

Calculated values
Total magnetic moment: 0.000 μB/atom
Crystal system: tetragonal
Formation energy: 0.270 eV/atom

---

No. 4
First-principles (PBE-GGA) data for a relaxed structure of LaNd4Sm2Sc, as listed in Alexandria via LeMat-Bulk.

a b c (Å): 5.0930 5.1320 10.3091
angles (deg): 90.00 90.01 90.00
With the nearest neighbours (Å) after each atom.
Space group P2/m (No. 10)
Symmetry-distinct sites (fractional):
La 0.0000 0.0000 0.0000  8 Nd 3.60-3.61, 4 Sc 3.62
Nd 0.0013 0.5000 0.7534  2 Sc 3.59-3.60, 4 Nd 3.61-3.63, 2 La 3.61, 4 Sm 3.64-3.66
Nd 0.4985 0.0000 0.7530  2 La 3.60-3.61, 4 Nd 3.61-3.63, 2 Sc 3.62, 4 Sm 3.64-3.66
Sm 0.0000 0.0000 0.5000  4 Sm 3.62, 8 Nd 3.64-3.66
Sm 0.5000 0.5000 0.5000  4 Sm 3.62, 8 Nd 3.64-3.66
Sc 0.5000 0.5000 0.0000  8 Nd 3.59-3.62, 4 La 3.62

Calculated values
Total magnetic moment: 0.000 μB/atom
Crystal system: monoclinic
Formation energy: 0.012 eV/atom

---

No. 5
First-principles (PBE-GGA) data for a relaxed structure of LaNd2Sm4Sc, as listed in Alexandria via LeMat-Bulk.

a b c (Å): 5.0902 5.0902 10.2907
angles (deg): 90.00 90.04 90.00
With the nearest neighbours (Å) after each atom.
Space group P2/m (No. 10)
Symmetry-distinct sites (fractional):
La 0.0000 0.0000 0.0000  8 Sm 3.58-3.59, 4 Sc 3.60
Nd 0.0000 0.0000 0.5000  4 Nd 3.60, 8 Sm 3.65
Nd 0.5000 0.5000 0.5000  4 Nd 3.60, 8 Sm 3.65-3.66
Sm 0.0004 0.5000 0.2452  2 Sc 3.58, 2 La 3.58, 4 Sm 3.60, 4 Nd 3.65-3.66
Sm 0.5001 0.0000 0.2457  2 La 3.59, 2 Sc 3.59, 4 Sm 3.60, 4 Nd 3.65
Sc 0.5000 0.5000 0.0000  8 Sm 3.58-3.59, 4 La 3.60

Calculated values
Total magnetic moment: 0.000 μB/atom
Crystal system: monoclinic
Formation energy: 0.035 eV/atom

---

No. 6
First-principles (PBE-GGA) data for a relaxed structure of La4NdSm2Sc, as listed in Alexandria via LeMat-Bulk.

a b c (Å): 5.9790 5.9752 7.6846
angles (deg): 90.00 90.01 90.00
With the nearest neighbours (Å) after each atom.
Space group P2/m (No. 10)
Symmetry-distinct sites (fractional):
La 0.0007 0.0000 0.2673  4 Sm 3.48-3.63, 2 Sc 3.48, 1 La 3.58, 2 Nd 3.62-3.63
La 0.4978 0.5000 0.2645  2 Sc 3.48-3.51, 4 Sm 3.49-3.63, 2 Nd 3.61, 1 La 3.62
Nd 0.5000 0.0000 0.0000  8 La 3.61-3.63, 2 Sm 3.84
Sm 0.0000 0.5000 0.0000  8 La 3.60-3.63, 2 Sc 3.84
Sm 0.5000 0.0000 0.5000  8 La 3.48-3.49, 2 Nd 3.84
Sc 0.0000 0.5000 0.5000  8 La 3.48-3.51, 2 Sm 3.84

Calculated values
Total magnetic moment: 0.000 μB/atom
Crystal system: monoclinic
Formation energy: 0.094 eV/atom

---

No. 7
First-principles (PBE-GGA) data for a relaxed structure of La3Nd2Sm6Sc, as listed in Alexandria via LeMat-Bulk.

a b c (Å): 6.2885 10.8951 12.0834
angles (deg): 90.00 100.05 90.00
With the nearest neighbours (Å) after each atom.
Space group C2/m (No. 12)
Symmetry-distinct sites (fractional):
La 0.0000 0.0000 0.0000  6 La 3.63, 6 Sm 3.69-3.70
La 0.0000 0.3332 0.0000  6 La 3.63, 6 Sm 3.68-3.71
Nd 0.0000 0.1665 0.5000  6 Sm 3.59-3.60, 3 Nd 3.63, 3 Sc 3.63
Sm 0.2454 0.3354 0.7445  1 Sc 3.57, 6 Sm 3.59-3.65, 2 Nd 3.59-3.60, 3 La 3.68-3.71
Sm 0.2486 0.5000 0.2552  1 Sc 3.58, 6 Sm 3.59-3.65, 2 Nd 3.59, 3 La 3.68-3.70
Sc 0.0000 0.5000 0.5000  6 Sm 3.57-3.58, 6 Nd 3.63

Calculated values
Total magnetic moment: 0.000 μB/atom
Crystal system: monoclinic
Formation energy: 0.030 eV/atom

---

No. 8
First-principles (PBE-GGA) data for a relaxed structure of LaTb5Nd2Sc, as listed in Alexandria via LeMat-Bulk.

a b c (Å): 8.7160 8.7160 15.5388
angles (deg): 90.00 90.00 90.00
With the nearest neighbours (Å) after each atom.
Space group I4/mcm (No. 140)
Symmetry-distinct sites (fractional):
La 0.0000 0.0000 0.2500  10 Tb 3.57-3.88
Tb 0.0000 0.0000 0.0000  4 Nd 3.48, 8 Tb 3.81, 2 La 3.88
Tb 0.2051 0.2949 0.1392  1 Sc 3.06, 1 Nd 3.06
Nd 0.1194 0.3806 0.5000  1 Nd 2.94, 2 Tb 3.06
Sc 0.0000 0.5000 0.2500  4 Tb 3.06

Calculated values
Total magnetic moment: 0.000 μB/atom
Crystal system: tetragonal
Formation energy: 0.269 eV/atom

---

No. 9
First-principles (PBE-GGA) data for a relaxed structure of La2Tb5NdSc, as listed in Alexandria via LeMat-Bulk.

a b c (Å): 5.6406 19.9199 10.5564
angles (deg): 90.00 90.00 90.00
With the nearest neighbours (Å) after each atom.
Space group Cmc2_1 (No. 36)
Symmetry-distinct sites (fractional):
La 0.0000 0.1147 0.0000  8 Tb 3.23-3.56, 1 Sc 3.58
La 0.0000 0.1160 0.4200  1 Sc 3.38, 7 Tb 3.47-3.66, 2 Nd 3.75
Tb 0.0000 0.0154 0.7048  2 Nd 3.23, 3 La 3.37-3.61
Tb 0.0000 0.2767 0.0076  1 Nd 3.06, 1 La 3.23, 2 Tb 3.40
Tb 0.0000 0.2950 0.3896  4 Tb 3.40-3.78, 1 Nd 3.44, 3 Sc 3.46-3.80, 3 La 3.54-3.58
Tb 0.0000 0.3747 0.7047  1 Sc 3.51, 4 La 3.56-3.63, 4 Tb 3.64-3.75
Tb 0.0000 0.4839 0.4280  2 Nd 3.13-3.29
Nd 0.0000 0.4111 0.1488  5 Tb 3.06-3.29
Sc 0.0000 0.1983 0.6995  2 La 3.38-3.58, 7 Tb 3.46-3.64, 2 Nd 3.60

Calculated values
Total magnetic moment: 0.000 μB/atom
Crystal system: orthorhombic
Formation energy: 0.153 eV/atom

---

No. 10
First-principles (PBE-GGA) data for a relaxed structure of La5Tb2NdSc, as listed in Alexandria via LeMat-Bulk.

a b c (Å): 9.1877 9.1877 7.4985
angles (deg): 90.00 90.00 90.00
With the nearest neighbours (Å) after each atom.
Space group P4/mbm (No. 127)
Symmetry-distinct sites (fractional):
La 0.0000 0.0000 0.0000  4 Tb 3.71, 2 Nd 3.75, 8 La 3.91
La 0.2057 0.2943 0.2798  1 Sc 3.14, 1 Tb 3.16, 1 La 3.30
Tb 0.1128 0.6128 0.0000  1 Tb 2.93, 2 La 3.16
Nd 0.0000 0.0000 0.5000  10 La 3.69-3.75
Sc 0.0000 0.5000 0.5000  4 La 3.14

Calculated values
Total magnetic moment: 0.000 μB/atom
Crystal system: tetragonal
Formation energy: 0.284 eV/atom

---

No. 11
First-principles (PBE-GGA) data for a relaxed structure of LaTb2Nd5Sc, as listed in Alexandria via LeMat-Bulk.

a b c (Å): 5.7074 20.2293 10.5665
angles (deg): 90.00 90.00 90.00
With the nearest neighbours (Å) after each atom.
Space group Cmc2_1 (No. 36)
Symmetry-distinct sites (fractional):
La 0.0000 0.0882 0.0000  5 Nd 3.09-3.35
Tb 0.0000 0.3841 0.2772  1 Sc 3.35, 7 Nd 3.54-3.70, 2 La 3.74
Tb 0.0000 0.3872 0.8533  9 Nd 3.31-3.65, 1 Sc 3.57
Nd 0.0000 0.0150 0.2848  2 La 3.09-3.35
Nd 0.0000 0.1256 0.5607  4 Tb 3.61-3.66, 1 Sc 3.62, 4 Nd 3.66-3.76
Nd 0.0000 0.2034 0.2484  4 Nd 3.44-3.83, 1 La 3.51, 3 Sc 3.51-3.83, 3 Tb 3.57-3.67
Nd 0.0000 0.2235 0.8635  1 La 3.09, 1 Tb 3.31, 2 Nd 3.44
Nd 0.0000 0.4829 0.5601  2 La 3.26, 3 Tb 3.42-3.60, 1 Sc 3.61
Sc 0.0000 0.3046 0.5552  2 Tb 3.35-3.57, 7 Nd 3.51-3.65, 2 La 3.63

Calculated values
Total magnetic moment: 0.000 μB/atom
Crystal system: orthorhombic
Formation energy: 0.160 eV/atom

---

No. 12
First-principles (PBE-GGA) data for a relaxed structure of LaTbNdSc, as listed in Alexandria via LeMat-Bulk.

a b c (Å): 12.3293 5.7748 3.8237
angles (deg): 90.00 107.89 90.00
With the nearest neighbours (Å) after each atom.
Space group Cm (No. 8)
Symmetry-distinct sites (fractional):
La 0.0000 0.0000 0.0000  4 Sc 3.42-3.51, 2 Tb 3.62-3.73, 2 Nd 3.66-3.80, 2 La 3.82
Tb 0.2674 0.0000 0.7372  2 Sc 3.26-3.31, 4 Nd 3.49-3.50, 1 La 3.62
Nd 0.2271 0.5000 0.1934  2 Sc 3.30-3.35, 4 Tb 3.49-3.50, 1 La 3.66
Sc 0.4949 0.0000 0.4749  2 Tb 3.26-3.31, 2 Nd 3.30-3.35, 4 La 3.42-3.51

Calculated values
Total magnetic moment: 0.000 μB/atom
ΔE to the lowest computed polymorph: 0.0 meV/atom
Crystal system: monoclinic
Formation energy: 0.091 eV/atom